[1]
# HgHS2

A geometry-optimized HgHS2 structure (GGA-PBEsol, the Alexandria database).

Energy (eV per atom): -2.50
Density (g/cm3): 7.011

Lattice parameters (Å, degrees): 3.2231 3.2231 20.9878 90.00 90.00 120.00
With the nearest neighbours (Å) after each atom.
Space group R-3m (No. 166, hexagonal axes)
Asymmetric unit:
Hg  0.0000  0.0000  0.0000 [3 per cell]  2 S 2.39
H  0.0000  0.0000  0.5000 [3 per cell]  6 S 2.16
S  0.0000  0.0000  0.1140 [6 per cell]  3 H 2.16, 1 Hg 2.39

[2]
# CoMo2RuRh

A geometry-optimized CoMo2RuRh structure (GGA-PBEsol, the Alexandria database).

Energy (eV per atom): -7.97
Formation energy (eV/atom): 1.950
Density (g/cm3): 8.021

Lattice parameters (Å, degrees): 4.5264 4.5264 4.5956 90.00 90.00 90.00
With the nearest neighbours (Å) after each atom.
Space group P4/mmm (No. 123)
Asymmetric unit:
Co  0.0000  0.0000  0.0000 [1 per cell]  4 Rh 3.20, 8 Mo 3.23
Mo  0.0000  0.5000  0.5000 [2 per cell]  2 Ru 2.26
Ru  0.5000  0.5000  0.5000 [1 per cell]  4 Mo 2.26, 2 Rh 2.30
Rh  0.5000  0.5000  0.0000 [1 per cell]  2 Ru 2.30

[3]
# NbNiPCl2

A geometry-optimized NbNiPCl2 structure (GGA-PBEsol, the Alexandria database).

Energy (eV per atom): -4.97
Density (g/cm3): 3.848
Formation energy (no corrections) (eV/f.u.): 1.933

Lattice parameters (Å, degrees): 4.6907 4.6907 4.9709 90.00 90.00 90.00
With the nearest neighbours (Å) after each atom.
Space group P4/mmm (No. 123)
Asymmetric unit:
Nb  0.0000  0.0000  0.0000 [1 per cell]  4 Cl 2.35, 2 P 2.49
Ni  0.5000  0.5000  0.5000 [1 per cell]  4 P 3.32, 8 Cl 3.42
P  0.0000  0.0000  0.5000 [1 per cell]  2 Nb 2.49
Cl  0.0000  0.5000  0.0000 [2 per cell]  2 Nb 2.35

[4]
# SrBePt2

A geometry-optimized SrBePt2 structure (GGA-PBEsol, the Alexandria database).

Energy (eV per atom): -4.99
Formation energy (eV/atom): -0.043
Density (g/cm3): 11.628

Lattice parameters (Å, degrees): 4.2666 4.2666 7.6378 90.00 90.00 90.00
With the nearest neighbours (Å) after each atom.
Space group I4/mmm (No. 139)
Asymmetric unit:
Sr  0.0000  0.0000  0.0000 [2 per cell]  8 Pt 2.86, 4 Be 3.02
Be  0.0000  0.0000  0.5000 [2 per cell]  8 Pt 2.86, 4 Sr 3.02
Pt  0.0000  0.5000  0.2500 [4 per cell]  4 Sr 2.86, 4 Be 2.86, 4 Pt 3.02

[5]
# MnSb2PI

A geometry-optimized MnSb2PI structure (GGA-PBEsol, the Alexandria database).

Energy (eV per atom): -4.53
Density (g/cm3): 6.338
Formation energy (no corrections) (eV/f.u.): 3.760

Lattice parameters (Å, degrees): 4.8829 4.8829 5.0143 90.00 90.00 90.00
With the nearest neighbours (Å) after each atom.
Space group P4/mmm (No. 123)
Asymmetric unit:
Mn  0.0000  0.0000  0.0000 [1 per cell]  4 Sb 2.44, 2 I 2.51
Sb  0.0000  0.5000  0.0000 [2 per cell]  2 Mn 2.44
P  0.5000  0.5000  0.5000 [1 per cell]  4 I 3.45, 8 Sb 3.50
I  0.0000  0.0000  0.5000 [1 per cell]  2 Mn 2.51

[6]
# Zr2InHgAs

A geometry-optimized Zr2InHgAs structure (GGA-PBEsol, the Alexandria database).

Energy (eV per atom): -4.38
Formation energy (eV/atom): 0.985
Density (g/cm3): 6.865

Lattice parameters (Å, degrees): 5.3010 5.3010 4.9301 90.00 90.00 90.00
With the nearest neighbours (Å) after each atom.
Space group P4/mmm (No. 123)
Asymmetric unit:
Zr  0.0000  0.5000  0.0000 [2 per cell]  2 In 2.65
In  0.0000  0.0000  0.0000 [1 per cell]  2 Hg 2.47, 4 Zr 2.65
Hg  0.0000  0.0000  0.5000 [1 per cell]  2 In 2.47
As  0.5000  0.5000  0.5000 [1 per cell]  8 Zr 3.62, 4 Hg 3.75

[7]
# NaCBr3

A geometry-optimized NaCBr3 structure (GGA-PBEsol, the Alexandria database).

Energy (eV per atom): -1.99
Density (g/cm3): 3.011
Formation energy (no corrections) (eV/f.u.): 6.711

Lattice parameters (Å, degrees): 5.3309 5.3309 5.3309 90.00 90.00 90.00
With the nearest neighbours (Å) after each atom.
Space group Pm-3m (No. 221)
Asymmetric unit:
Na  0.0000  0.0000  0.0000 [1 per cell]  6 Br 2.67
C  0.5000  0.5000  0.5000 [1 per cell]  12 Br 3.77
Br  0.0000  0.0000  0.5000 [3 per cell]  2 Na 2.67

[8]
# Cr2NCl

A geometry-optimized Cr2NCl structure (GGA-PBEsol, the Alexandria database).

Energy (eV per atom): -7.20
Density (g/cm3): 6.295
Formation energy (no corrections) (eV/f.u.): 2.208

Lattice parameters (Å, degrees): 5.4505 5.4505 5.4505 90.00 90.00 90.00
With the nearest neighbours (Å) after each atom.
Space group Fm-3m (No. 225)
Asymmetric unit:
Cr  0.2500  0.2500  0.2500 [8 per cell]  4 Cl 2.36, 4 N 2.36
N  0.0000  0.0000  0.0000 [4 per cell]  8 Cr 2.36
Cl  0.0000  0.0000  0.5000 [4 per cell]  8 Cr 2.36

[9]
# Li2AgPb

A geometry-optimized Li2AgPb structure (GGA-PBEsol, the Alexandria database).

Energy (eV per atom): -2.96
Formation energy (eV/atom): -0.148
Density (g/cm3): 7.156

Lattice parameters (Å, degrees): 3.0240 4.3531 5.7991 90.00 90.00 90.00
With the nearest neighbours (Å) after each atom.
Space group Pmm2 (No. 25)
Asymmetric unit:
Li  0.0000  0.0000  0.0000 [1 per cell]  2 Pb 2.83-2.96, 4 Ag 2.91, 6 Li 3.02-3.07
Li  0.5000  0.5000  0.2673 [1 per cell]  2 Ag 2.76-3.04, 4 Pb 3.00, 6 Li 3.02-3.07
Ag  0.5000  0.5000  0.7919 [1 per cell]  6 Li 2.76-3.04, 2 Ag 3.02
Pb  0.0000  0.0000  0.5113 [1 per cell]  6 Li 2.83-3.00, 2 Pb 3.02, 4 Ag 3.11

[10]
# ZrZnIn2

A geometry-optimized ZrZnIn2 structure (GGA-PBEsol, the Alexandria database).

Energy (eV per atom): -4.48
Formation energy (eV/atom): -0.321
Density (g/cm3): 8.271

Lattice parameters (Å, degrees): 4.2760 4.2760 4.2416 90.00 90.00 90.00
With the nearest neighbours (Å) after each atom.
Space group P4/mmm (No. 123)
Asymmetric unit:
Zr  0.0000  0.0000  0.0000 [1 per cell]  8 In 3.01, 4 Zn 3.02
Zn  0.5000  0.5000  0.0000 [1 per cell]  8 In 3.01, 4 Zr 3.02
In  0.0000  0.5000  0.5000 [2 per cell]  4 Zr 3.01, 4 Zn 3.01, 4 In 3.02

[11]
# CaSnO3

A geometry-optimized CaSnO3 structure (GGA-PBEsol, the Alexandria database).

Energy (eV per atom): -6.73
Density (g/cm3): 5.138
Formation energy (no corrections) (eV/f.u.): -11.514

Lattice parameters (Å, degrees): 5.5097 5.5097 15.2525 90.00 90.00 120.00
With the nearest neighbours (Å) after each atom.
Space group R-3 (No. 148, hexagonal axes)
Asymmetric unit:
Ca  0.0000  0.0000  0.1375 [6 per cell]  6 O 2.28-2.44
Sn  0.0000  0.0000  0.3460 [6 per cell]  6 O 2.06-2.13
O  0.0207  0.3885  0.9233 [18 per cell]  2 Sn 2.06-2.13, 1 Ca 2.28

[12]
# HPdN2

A geometry-optimized HPdN2 structure (GGA-PBEsol, the Alexandria database).

Energy (eV per atom): -5.22
Density (g/cm3): 6.510

Lattice parameters (Å, degrees): 4.2429 4.2429 7.6769 90.00 90.00 90.00
With the nearest neighbours (Å) after each atom.
Space group I-42d (No. 122)
Asymmetric unit:
H  0.0000  0.0000  0.0000 [4 per cell]  4 N 1.63
Pd  0.0000  0.0000  0.5000 [4 per cell]  4 N 1.96
N  0.1837  0.7500  0.1250 [8 per cell]  2 H 1.63

[13]
# ZrOs2Br

A geometry-optimized ZrOs2Br structure (GGA-PBEsol, the Alexandria database).

Energy (eV per atom): -8.24
Density (g/cm3): 13.305
Formation energy (no corrections) (eV/f.u.): 2.414

Lattice parameters (Å, degrees): 3.0511 3.0511 25.6157 90.00 90.00 120.00
With the nearest neighbours (Å) after each atom.
Space group R-3m (No. 166, hexagonal axes)
Asymmetric unit:
Zr  0.0000  0.0000  0.0000 [3 per cell]  6 Os 2.73, 6 Zr 3.05
Os  0.0000  0.0000  0.2518 [6 per cell]  3 Zr 2.73, 3 Br 2.80, 6 Os 3.05
Br  0.0000  0.0000  0.5000 [3 per cell]  6 Os 2.80, 6 Br 3.05

[14]
# Zr3ScN

A geometry-optimized Zr3ScN structure (GGA-PBEsol, the Alexandria database).

Energy (eV per atom): -9.28
Density (g/cm3): 5.996
Formation energy (no corrections) (eV/f.u.): -4.010

Lattice parameters (Å, degrees): 4.5163 4.5163 4.5163 90.00 90.00 90.00
With the nearest neighbours (Å) after each atom.
Space group Pm-3m (No. 221)
Asymmetric unit:
Zr  0.0000  0.0000  0.5000 [3 per cell]  2 N 2.26
Sc  0.5000  0.5000  0.5000 [1 per cell]  12 Zr 3.19
N  0.0000  0.0000  0.0000 [1 per cell]  6 Zr 2.26

[15]
# Li2InIr

A geometry-optimized Li2InIr structure (GGA-PBEsol, the Alexandria database).

Energy (eV per atom): -4.32
Formation energy (eV/atom): -0.132
Density (g/cm3): 8.722

Lattice parameters (Å, degrees): 2.7951 4.0916 5.4762 90.00 102.71 90.00
With the nearest neighbours (Å) after each atom.
Space group Pm (No. 6)
Asymmetric unit:
Li  0.0000  0.0000  0.0000 [1 per cell]  2 Li 2.48, 1 In 2.58, 2 Ir 2.68
Li  0.3270  0.5000  0.2324 [1 per cell]  2 Li 2.48, 1 Ir 2.68
In  0.8853  0.0000  0.5192 [1 per cell]  3 Li 2.58-2.83, 4 Ir 2.78-2.83, 2 In 2.80
Ir  0.4734  0.5000  0.7643 [1 per cell]  6 Li 2.68-2.89, 4 In 2.78-2.83, 2 Ir 2.80

[16]
# ScAl

A geometry-optimized ScAl structure (GGA-PBEsol, the Alexandria database).

Energy (eV per atom): -5.73
Formation energy (eV/atom): -0.384
Density (g/cm3): 3.096

Lattice parameters (Å, degrees): 3.3968 4.6387 9.7948 90.00 90.00 90.00
With the nearest neighbours (Å) after each atom.
Space group Imma (No. 74)
Asymmetric unit:
Sc  0.0000  0.2500  0.1182 [4 per cell]  6 Al 2.89-3.08, 2 Sc 3.09
Al  0.0000  0.2500  0.6440 [4 per cell]  2 Al 2.68, 4 Sc 2.89

[17]
# Sr5Ca5P6Cl2O24

A geometry-optimized Sr5Ca5P6Cl2O24 structure (GGA-PBEsol, the Alexandria database).

Energy (eV per atom): -7.32
Density (g/cm3): 3.718
Formation energy (no corrections) (eV/f.u.): -122.901

Lattice parameters (Å, degrees): 9.7454 6.9396 9.7455 90.00 119.91 90.00
With the nearest neighbours (Å) after each atom.
Space group Pm (No. 6)
Asymmetric unit:
Sr  0.0000  0.0000  0.0000 [1 per cell]  5 O 2.42-2.63
Sr  0.0015  0.5000  0.2510 [1 per cell]  5 O 2.41-2.66
Sr  0.2522  0.5000  0.9972 [1 per cell]  5 O 2.41-2.63
Sr  0.5018  0.5000  0.5038 [1 per cell]  5 O 2.42-2.64
Sr  0.5050  0.0000  0.2532 [1 per cell]  5 O 2.41-2.65
Ca  0.2693  0.0000  0.5186 [1 per cell]  5 O 2.25-2.47
Ca  0.5865  0.2526  0.9204 [2 per cell]  6 O 2.42-2.47
Ca  0.9175  0.2475  0.5839 [2 per cell]  6 O 2.43-2.45
P  0.2228  0.5000  0.6311 [1 per cell]  4 O 1.55-1.56
P  0.2857  0.0000  0.8698 [1 per cell]  4 O 1.55-1.56
P  0.6297  0.0000  0.6661 [1 per cell]  4 O 1.55
P  0.6690  0.5000  0.2883 [1 per cell]  4 O 1.55-1.56
P  0.8356  0.0000  0.2158 [1 per cell]  4 O 1.55-1.56
P  0.8725  0.5000  0.8359 [1 per cell]  4 O 1.55-1.56
Cl  0.2521  0.2455  0.2536 [2 per cell]  5 Sr 3.00-3.06, 1 Ca 3.03, 6 O 3.10-3.21
O  0.1057  0.0000  0.7496 [1 per cell]  1 P 1.55
O  0.1160  0.5000  0.7086 [1 per cell]  1 P 1.56
O  0.1789  0.3182  0.5245 [2 per cell]  1 P 1.55
O  0.3373  0.1793  0.9782 [2 per cell]  1 P 1.55
O  0.3850  0.0000  0.7843 [1 per cell]  1 P 1.56
O  0.4007  0.5000  0.7591 [1 per cell]  1 P 1.55
O  0.5194  0.1779  0.6073 [2 per cell]  1 P 1.55
O  0.6108  0.3205  0.3385 [2 per cell]  1 P 1.55
O  0.6112  0.5000  0.1086 [1 per cell]  1 P 1.55
O  0.6512  0.0000  0.1138 [1 per cell]  1 P 1.56
O  0.7133  0.0000  0.8499 [1 per cell]  1 P 1.55
O  0.7510  0.0000  0.6074 [1 per cell]  1 P 1.55
O  0.7509  0.5000  0.8943 [1 per cell]  1 P 1.55
O  0.7888  0.5000  0.6518 [1 per cell]  1 P 1.56
O  0.8534  0.5000  0.3890 [1 per cell]  1 P 1.56
O  0.8912  0.0000  0.3950 [1 per cell]  1 P 1.55
O  0.8926  0.1800  0.1650 [2 per cell]  1 P 1.55
O  0.9811  0.3206  0.8936 [2 per cell]  1 P 1.55

[18]
# ZnCu2Br

A geometry-optimized ZnCu2Br structure (GGA-PBEsol, the Alexandria database).

Energy (eV per atom): -2.69
Density (g/cm3): 6.831
Formation energy (no corrections) (eV/f.u.): 1.372

Lattice parameters (Å, degrees): 3.0081 5.4638 8.0579 90.00 90.00 90.00
With the nearest neighbours (Å) after each atom.
Space group Immm (No. 71)
Asymmetric unit:
Zn  0.0000  0.0000  0.0000 [2 per cell]  4 Cu 2.47
Cu  0.0000  0.5000  0.2567 [4 per cell]  2 Zn 2.47, 2 Br 2.56
Br  0.0000  0.0000  0.5000 [2 per cell]  4 Cu 2.56

[19]
# BeZnFe2

A geometry-optimized BeZnFe2 structure (GGA-PBEsol, the Alexandria database).

Energy (eV per atom): -5.88
Formation energy (eV/atom): -0.004
Density (g/cm3): 7.217

Lattice parameters (Å, degrees): 3.4419 3.4419 3.6146 90.00 90.00 90.00
With the nearest neighbours (Å) after each atom.
Space group P4/mmm (No. 123)
Asymmetric unit:
Be  0.0000  0.0000  0.0000 [1 per cell]  4 Zn 2.43, 8 Fe 2.50
Zn  0.5000  0.5000  0.0000 [1 per cell]  4 Be 2.43, 8 Fe 2.50
Fe  0.0000  0.5000  0.5000 [2 per cell]  4 Fe 2.43, 4 Be 2.50, 4 Zn 2.50

[20]
# TaWSe3

A geometry-optimized TaWSe3 structure (GGA-PBEsol, the Alexandria database).

Energy (eV per atom): -6.55
Density (g/cm3): 8.356
Formation energy (no corrections) (eV/f.u.): 5.170

Lattice parameters (Å, degrees): 4.9264 4.9264 4.9264 90.00 90.00 90.00
With the nearest neighbours (Å) after each atom.
Space group Pm-3m (No. 221)
Asymmetric unit:
Ta  0.0000  0.0000  0.0000 [1 per cell]  6 Se 2.46
W  0.5000  0.5000  0.5000 [1 per cell]  12 Se 3.48
Se  0.0000  0.0000  0.5000 [3 per cell]  2 Ta 2.46

[21]
# Re2SiP

A geometry-optimized Re2SiP structure (GGA-PBEsol, the Alexandria database).

Energy (eV per atom): -9.35
Density (g/cm3): 12.940
Formation energy (no corrections) (eV/f.u.): 0.784

Lattice parameters (Å, degrees): 2.9139 4.8500 7.8359 90.00 90.00 90.00
With the nearest neighbours (Å) after each atom.
Space group Immm (No. 71)
Asymmetric unit:
Re  0.0000  0.0000  0.2323 [4 per cell]  2 P 2.33, 2 Si 2.55
Si  0.0000  0.5000  0.0000 [2 per cell]  4 Re 2.55, 4 P 2.83
P  0.0000  0.5000  0.5000 [2 per cell]  4 Re 2.33

[22]
# TlCr2Te

A geometry-optimized TlCr2Te structure (GGA-PBEsol, the Alexandria database).

Energy (eV per atom): -5.91
Density (g/cm3): 8.783
Formation energy (no corrections) (eV/f.u.): 2.991

Lattice parameters (Å, degrees): 6.9083 6.9083 6.9083 90.00 90.00 90.00
With the nearest neighbours (Å) after each atom.
Space group F-43m (No. 216)
Asymmetric unit:
Tl  0.0000  0.0000  0.0000 [4 per cell]  4 Cr 2.99, 4 Te 2.99
Cr  0.0000  0.0000  0.5000 [4 per cell]  4 Cr 2.99, 4 Te 2.99
Cr  0.2500  0.2500  0.7500 [4 per cell]  4 Cr 2.99, 4 Tl 2.99
Te  0.2500  0.2500  0.2500 [4 per cell]  4 Cr 2.99, 4 Tl 2.99

[23]
# Ti2FeP3O12

A geometry-optimized Ti2FeP3O12 structure (GGA-PBEsol, the Alexandria database).

Energy (eV per atom): -8.24
Density (g/cm3): 3.325
Formation energy (no corrections) (eV/f.u.): -42.412

Lattice parameters (Å, degrees): 8.6408 8.6408 20.2282 90.00 90.00 120.00
With the nearest neighbours (Å) after each atom.
Space group R-3c (No. 167, hexagonal axes)
Asymmetric unit:
Ti  0.0000  0.0000  0.1390 [12 per cell]  6 O 1.91-2.02
Fe  0.0000  0.0000  0.0000 [6 per cell]  6 O 2.16
P  0.0000  0.2898  0.2500 [18 per cell]  4 O 1.53-1.55
O  0.0094  0.1940  0.3120 [36 per cell]  1 P 1.53
O  0.0207  0.1878  0.9254 [36 per cell]  1 P 1.55

[24]
# CeMg2Si2

A geometry-optimized CeMg2Si2 structure (GGA-PBEsol, the Alexandria database).

Energy (eV per atom): -4.73
Density (g/cm3): 4.064
Formation energy (no corrections) (eV/f.u.): -2.126

Lattice parameters (Å, degrees): 4.1573 4.1573 5.7891 90.00 90.00 90.00
With the nearest neighbours (Å) after each atom.
Space group P4/mmm (No. 123)
Asymmetric unit:
Ce  0.0000  0.0000  0.0000 [1 per cell]  8 Si 3.15
Mg  0.0000  0.5000  0.5000 [2 per cell]  4 Si 2.72, 4 Mg 2.94
Si  0.5000  0.5000  0.1967 [2 per cell]  1 Si 2.28

[25]
# MoRu

A geometry-optimized MoRu structure (GGA-PBEsol, the Alexandria database).

Energy (eV per atom): -10.93
Formation energy (eV/atom): 0.041
Density (g/cm3): 11.452

Lattice parameters (Å, degrees): 10.0182 2.7254 4.7431 90.00 118.08 90.00
With the nearest neighbours (Å) after each atom.
Space group C2/m (No. 12)
Asymmetric unit:
Mo  0.1163  0.0000  0.2813 [4 per cell]  5 Mo 2.59-2.85, 7 Ru 2.70-2.74
Ru  0.1309  0.5000  0.7949 [4 per cell]  5 Ru 2.64-2.79, 7 Mo 2.70-2.74